A geometry-optimized V2HO structure. Source: Alexandria via LeMat-Bulk, functional GGA+U.

The structure in CIF format:
```
data_V2HO
_chemical_formula_sum 'V8 H4 O4'
_symmetry_space_group_name_H-M 'I -4 2 d'
_symmetry_Int_Tables_number 122
_symmetry_space_group_name_Hall 'I -4 2bw'
_cell_length_a 4.557
_cell_length_b 4.557
_cell_length_c 9.060
_cell_angle_alpha 90.00
_cell_angle_beta 90.00
_cell_angle_gamma 90.00
loop_
_atom_site_label
_atom_site_type_symbol
_atom_site_fract_x
_atom_site_fract_y
_atom_site_fract_z
V1 V 0.249 0.250 0.125
H1 H 0.000 0.000 0.500
O1 O 0.000 0.000 0.000
```

Values from the calculation:
Crystal system = tetragonal
Offset from the most stable computed form = 0.000 eV per atom
Volume = 188.17 Å³/cell